Record 1
MoW2C: PBEsol geometry, SCAN.

The structure belongs to space group Pmmm (No. 47); the cell edges are 3.0823, 3.8469 and 4.5554 Å and the angles 90.00°, 90.00° and 90.00°. Symmetry generates all atoms from Mo at (0.0000, 0.0000, 0.0000), W at (0.0000, 0.5000, 0.5000), W at (0.5000, 0.5000, 0.0000) and C at (0.5000, 0.0000, 0.5000).

The density of states at the Fermi level comes out at 0.680 states/eV/atom. The value obtained for the uncorrected energy is -44.858 eV/atom. For the total magnetic moment, the calculation gives 0.0 μB per formula unit.



Record 2
YMoC3: PBEsol geometry, SCAN.

The structure belongs to space group Pm-3m (No. 221); the cell edges are 4.2015, 4.2015 and 4.2015 Å and the angles 90.00°, 90.00° and 90.00°. Symmetry generates all atoms from Y at (0.0000, 0.0000, 0.0000), Mo at (0.5000, 0.5000, 0.5000) and C at (0.0000, 0.0000, 0.5000).

The density of states at the Fermi level comes out at 0.544 states/eV/atom. The value obtained for the uncorrected energy is -15.648 eV/atom. For the total magnetic moment, the calculation gives 2.1 μB per formula unit.



Record 3
ZnMo2C: PBEsol geometry, SCAN.

The structure belongs to space group Fm-3m (No. 225); the cell edges are 5.7719, 5.7719 and 5.7719 Å and the angles 90.00°, 90.00° and 90.00°. Symmetry generates all atoms from Zn at (0.0000, 0.0000, 0.0000), Mo at (0.2500, 0.2500, 0.2500) and C at (0.0000, 0.0000, 0.5000).

The density of states at the Fermi level comes out at 0.552 states/eV/atom. The value obtained for the uncorrected energy is -22.250 eV/atom. For the total magnetic moment, the calculation gives 0.0 μB per formula unit.



Record 4
Zr2MoC: PBEsol geometry, SCAN.

The structure belongs to space group Cm (No. 8); the cell edges are 9.0916, 2.9616 and 5.1628 Å and the angles 90.00°, 113.82° and 90.00°. Symmetry generates all atoms from Zr at (0.0000, 0.0000, 0.0000), Zr at (0.1764, 0.0000, 0.6576), Mo at (0.3307, 0.5000, 0.3326) and C at (0.4428, 0.0000, 0.6363).

The density of states at the Fermi level comes out at 0.882 states/eV/atom. The value obtained for the uncorrected energy is -26.683 eV/atom. For the total magnetic moment, the calculation gives 0.0 μB per formula unit.



Repeat the first record exactly.
MoW2C: PBEsol geometry, SCAN.

The structure belongs to space group Pmmm (No. 47); the cell edges are 3.0823, 3.8469 and 4.5554 Å and the angles 90.00°, 90.00° and 90.00°. Symmetry generates all atoms from Mo at (0.0000, 0.0000, 0.0000), W at (0.0000, 0.5000, 0.5000), W at (0.5000, 0.5000, 0.0000) and C at (0.5000, 0.0000, 0.5000).

The density of states at the Fermi level comes out at 0.680 states/eV/atom. The value obtained for the uncorrected energy is -44.858 eV/atom. For the total magnetic moment, the calculation gives 0.0 μB per formula unit.



Question: Number 1 is which compound?
Answer: MoW2C



Question: Among the records above, which one has the lowest uncorrected energy?
Answer: MoW2C